# 1
# DyP2Pt7Au2, relaxed, DFT PBE
# * crystal system: tetragonal
# * DFT formation energy: -482.7 meV/atom
data_DyP2Pt7Au2
_chemical_formula_sum 'Dy2 P4 Pt14 Au4'
_cell_length_a 3.959
_cell_length_b 3.959
_cell_length_c 28.018
_cell_angle_alpha 90.00
_cell_angle_beta 90.00
_cell_angle_gamma 90.00
_space_group_name_H-M_alt 'I 4/m m m'
_space_group_IT_number 139
_space_group_name_Hall '-I 4 2'
loop_
_atom_site_label
_atom_site_type_symbol
_atom_site_fract_x
_atom_site_fract_y
_atom_site_fract_z
Dy1 Dy 0.000 0.000 0.000
P1 P 0.000 0.000 0.374
Pt1 Pt 0.000 0.000 0.296
Pt2 Pt 0.000 0.000 0.500
Pt3 Pt 0.000 0.500 0.079
Au1 Au 0.000 0.000 0.200

***

# 2
# K2ScNbTc, relaxed, DFT PBE
# * crystal system: tetragonal
# * DFT formation energy: 2098.7 meV/atom
data_K2ScNbTc
_chemical_formula_sum 'K2 Sc1 Nb1 Tc1'
_cell_length_a 6.129
_cell_length_b 6.129
_cell_length_c 4.557
_cell_angle_alpha 90.00
_cell_angle_beta 90.00
_cell_angle_gamma 90.00
_space_group_name_H-M_alt 'P 4/m m m'
_space_group_IT_number 123
_space_group_name_Hall '-P 4 2'
loop_
_atom_site_label
_atom_site_type_symbol
_atom_site_fract_x
_atom_site_fract_y
_atom_site_fract_z
K1 K 0.000 0.500 0.000
Sc1 Sc 0.000 0.000 0.000
Nb1 Nb 0.500 0.500 0.500
Tc1 Tc 0.000 0.000 0.500

***

# 3
# NaThAu2, relaxed, DFT PBE
# * crystal system: tetragonal
# * DFT formation energy: -457.2 meV/atom
data_NaThAu2
_chemical_formula_sum 'Na1 Th1 Au2'
_cell_length_a 5.223
_cell_length_b 5.223
_cell_length_c 3.508
_cell_angle_alpha 90.00
_cell_angle_beta 90.00
_cell_angle_gamma 90.00
_space_group_name_H-M_alt 'P 4/m m m'
_space_group_IT_number 123
_space_group_name_Hall '-P 4 2'
loop_
_atom_site_label
_atom_site_type_symbol
_atom_site_fract_x
_atom_site_fract_y
_atom_site_fract_z
Na1 Na 0.000 0.000 0.000
Th1 Th 0.500 0.500 0.000
Au1 Au 0.000 0.500 0.500

***

# 4
# BeInTc2, relaxed, DFT PBE
# * polymorph energy (0 for the lowest one): 35.2 kJ per mole of atoms
# * crystal system: orthorhombic
# * DFT formation energy: 352.6 meV/atom
data_BeInTc2
_chemical_formula_sum 'Be2 In2 Tc4'
_cell_length_a 3.304
_cell_length_b 4.484
_cell_length_c 7.920
_cell_angle_alpha 90.00
_cell_angle_beta 90.00
_cell_angle_gamma 90.00
_space_group_name_H-M_alt 'C m m m'
_space_group_IT_number 65
_space_group_name_Hall '-C 2 2'
loop_
_atom_site_label
_atom_site_type_symbol
_atom_site_fract_x
_atom_site_fract_y
_atom_site_fract_z
Be1 Be 0.000 0.000 0.000
In1 In 0.000 0.000 0.500
Tc1 Tc 0.000 0.500 0.206

***

Please write out number 1 again, unchanged.
# DyP2Pt7Au2, relaxed, DFT PBE
# * crystal system: tetragonal
# * DFT formation energy: -482.7 meV/atom
data_DyP2Pt7Au2
_chemical_formula_sum 'Dy2 P4 Pt14 Au4'
_cell_length_a 3.959
_cell_length_b 3.959
_cell_length_c 28.018
_cell_angle_alpha 90.00
_cell_angle_beta 90.00
_cell_angle_gamma 90.00
_space_group_name_H-M_alt 'I 4/m m m'
_space_group_IT_number 139
_space_group_name_Hall '-I 4 2'
loop_
_atom_site_label
_atom_site_type_symbol
_atom_site_fract_x
_atom_site_fract_y
_atom_site_fract_z
Dy1 Dy 0.000 0.000 0.000
P1 P 0.000 0.000 0.374
Pt1 Pt 0.000 0.000 0.296
Pt2 Pt 0.000 0.000 0.500
Pt3 Pt 0.000 0.500 0.079
Au1 Au 0.000 0.000 0.200